This record from Alexandria describes an optimized crystal structure of Ba5Sb2BrO. The functional is PBE-GGA.

Cell: 5.279 5.279 12.459 Å, 90.00 90.00 90.00°
Space group P4/mmm (No. 123)
One atom of each set of equivalent atoms:
Ba1 0.000 0.000 0.000 [1 per cell]
Ba2 0.000 0.500 0.500 [2 per cell]
Ba3 0.500 0.500 0.259 [2 per cell]
Sb1 0.000 0.000 0.290 [2 per cell]
Br1 0.500 0.500 0.000 [1 per cell]
O1 0.500 0.500 0.500 [1 per cell]

* crystal system: tetragonal
* N(E_F): 4.3 states/eV/f.u.



This record from Alexandria describes an optimized crystal structure of Ba2ScBr2O2. The functional is PBE-GGA.

Cell: 4.393 4.393 17.120 Å, 90.00 90.00 90.00°
Space group I4/mmm (No. 139)
One atom of each set of equivalent atoms:
Ba1 0.000 0.000 0.106 [4 per cell]
Sc1 0.000 0.000 0.500 [2 per cell]
Br1 0.000 0.000 0.323 [4 per cell]
O1 0.000 0.500 0.000 [4 per cell]

* crystal system: tetragonal
* N(E_F): 2.6 states/eV/f.u.



This record from Alexandria describes an optimized crystal structure of Ba4Se2BrO2. The functional is PBE-GGA.

Cell: 17.812 4.440 9.306 Å, 90.00 119.98 90.00°
Space group C2/m (No. 12)
One atom of each set of equivalent atoms:
Ba1 0.022 0.000 0.299 [4 per cell]
Ba2 0.234 0.500 0.316 [4 per cell]
Se1 0.098 0.500 0.629 [4 per cell]
Br1 0.000 0.500 0.000 [2 per cell]
O1 0.175 0.000 0.369 [4 per cell]

* crystal system: monoclinic
* N(E_F): 0.4 states/eV/f.u.



This record from Alexandria describes an optimized crystal structure of Ba2Se2BrO6. The functional is PBE-GGA.

Cell: 6.067 6.422 7.065 Å, 77.97 84.67 89.90°
Space group P-1 (No. 2)
One atom of each set of equivalent atoms:
Ba1 0.232 0.434 0.247 [2 per cell]
Se1 0.218 0.202 0.833 [2 per cell]
Br1 0.500 0.000 0.500 [1 per cell]
O1 0.006 0.248 0.000 [2 per cell]
O2 0.162 0.392 0.633 [2 per cell]
O3 0.443 0.298 0.920 [2 per cell]

* crystal system: triclinic
* N(E_F): 5.4 states/eV/f.u.



Energy relative to the elements, uncorrected for the records above, in order: -13.3; -16.9; -18.9; -17.7 eV/f.u.
Ρ for the records above, in order: 4.9; 5.1; 4.3; 3.8 g cm⁻³